# meta-GGA SCAN PrSb2Pd, PBEsol geometry
data_PrSb2Pd
_space_group_name_H-M_alt 'P 4/n m m'
_space_group_IT_number 129
_cell_length_a 4.4426
_cell_length_b 4.4426
_cell_length_c 9.8089
_cell_angle_alpha 90.00
_cell_angle_beta 90.00
_cell_angle_gamma 90.00
loop_
_space_group_symop_operation_xyz
'x,y,z'
'-x,-y,-z'
'-y+1/2,x,z'
'y+1/2,-x,-z'
'-x+1/2,-y+1/2,z'
'x+1/2,y+1/2,-z'
'y,-x+1/2,z'
'-y,x+1/2,-z'
'x+1/2,-y,-z'
'-x+1/2,y,z'
'-y,-x,-z'
'y,x,z'
'-x,y+1/2,-z'
'x,-y+1/2,z'
'y+1/2,x+1/2,-z'
'-y+1/2,-x+1/2,z'
loop_
_atom_site_label
_atom_site_type_symbol
_atom_site_fract_x
_atom_site_fract_y
_atom_site_fract_z
Pr1 Pr 0.2500 0.2500 0.2473
Sb1 Sb 0.2500 0.2500 0.8475
Sb2 Sb 0.2500 0.7500 0.5000
Pd1 Pd 0.2500 0.7500 0.0000
# - Crystal system: tetragonal
# - Magnetization: 0.00 μB/cell
# - Energy relative to the elements, uncorrected: -0.94 eV per atom
# - Fermi-level density of states: 5.24 states/eV per cell